P:
# Ga2Sn2S5 (PBE, optimized geometry)
data_Ga2Sn2S5
_symmetry_space_group_name_H-M 'P n a 21'
_symmetry_Int_Tables_number 33
_cell_length_a 12.685
_cell_length_b 6.389
_cell_length_c 10.991
_cell_angle_alpha 90.00
_cell_angle_beta 90.00
_cell_angle_gamma 90.00
loop_
_symmetry_equiv_pos_as_xyz
'x,y,z'
'-x,-y,z+1/2'
'-x+1/2,y+1/2,z+1/2'
'x+1/2,-y+1/2,z'
loop_
_atom_site_label
_atom_site_fract_x
_atom_site_fract_y
_atom_site_fract_z
Ga1 0.182 0.153 0.000
Ga2 0.232 0.646 0.834
Sn1 0.019 0.449 0.476
Sn2 0.039 0.043 0.699
S1 0.007 0.141 0.941
S2 0.061 0.642 0.757
S3 0.173 0.977 0.185
S4 0.212 0.489 0.358
S5 0.227 0.495 0.022
# V ... 24.7 A^3/atom
# Size of the total moment ... 0.0 Bohr magnetons per cell

Q:
# Ga2Sn2S5 (PBE, optimized geometry)
data_Ga2Sn2S5
_symmetry_space_group_name_H-M 'C 1 2/m 1'
_symmetry_Int_Tables_number 12
_cell_length_a 14.767
_cell_length_b 3.856
_cell_length_c 9.673
_cell_angle_alpha 90.00
_cell_angle_beta 117.23
_cell_angle_gamma 90.00
loop_
_symmetry_equiv_pos_as_xyz
'x,y,z'
'-x,-y,-z'
'-x,y,-z'
'x,-y,z'
'x+1/2,y+1/2,z'
'-x+1/2,-y+1/2,-z'
'-x+1/2,y+1/2,-z'
'x+1/2,-y+1/2,z'
loop_
_atom_site_label
_atom_site_fract_x
_atom_site_fract_y
_atom_site_fract_z
Ga1 0.222 0.000 0.108
Sn1 0.091 0.500 0.403
S1 0.000 0.000 0.500
S2 0.140 0.500 0.952
S3 0.229 0.000 0.340
# V ... 27.2 A^3/atom
# Size of the total moment ... 0.0 Bohr magnetons per cell

Most stable of them? P.

P:
# Ta4GaS8 (PBE, optimized geometry)
data_Ta4GaS8
_symmetry_space_group_name_H-M 'R -3 m'
_symmetry_Int_Tables_number 166
_symmetry_space_group_name_Hall '-R 3 2"'
_cell_length_a 6.7443
_cell_length_b 6.7443
_cell_length_c 21.9746
_cell_angle_alpha 90.00
_cell_angle_beta 90.00
_cell_angle_gamma 120.00
loop_
_atom_site_label
_atom_site_fract_x
_atom_site_fract_y
_atom_site_fract_z
Ta1 0.0000 0.0000 0.0000
Ta2 0.0000 0.5000 0.0000
Ga1 0.0000 0.0000 0.5000
S1 0.0000 0.0000 0.2632
S2 0.0001 0.5001 0.2627
# V ... 22.2 A^3/atom
# Size of the total moment ... 0.0 Bohr magnetons per cell

Q:
# Ta4GaS8 (PBE, optimized geometry)
data_Ta4GaS8
_symmetry_space_group_name_H-M 'F -4 3 m'
_symmetry_Int_Tables_number 216
_symmetry_space_group_name_Hall 'F -4 2 3'
_cell_length_a 10.033
_cell_length_b 10.033
_cell_length_c 10.033
_cell_angle_alpha 90.00
_cell_angle_beta 90.00
_cell_angle_gamma 90.00
loop_
_atom_site_label
_atom_site_fract_x
_atom_site_fract_y
_atom_site_fract_z
Ta1 0.105 0.105 0.105
Ga1 0.000 0.000 0.500
S1 0.133 0.133 0.867
S2 0.134 0.134 0.366
# V ... 19.4 A^3/atom
# Size of the total moment ... 0.0 Bohr magnetons per cell

Most stable of them? Q.

P:
# TbGaS3 (PBE, optimized geometry)
data_TbGaS3
_symmetry_space_group_name_H-M 'R -3'
_symmetry_Int_Tables_number 148
_symmetry_space_group_name_Hall '-R 3'
_cell_length_a 6.5733
_cell_length_b 6.5733
_cell_length_c 17.7595
_cell_angle_alpha 90.00
_cell_angle_beta 90.00
_cell_angle_gamma 120.00
loop_
_atom_site_label
_atom_site_fract_x
_atom_site_fract_y
_atom_site_fract_z
Tb1 0.0000 0.0000 0.1446
Ga1 0.0000 0.0000 0.3447
S1 0.0169 0.6389 0.9220
# V ... 22.1 A^3/atom
# Size of the total moment ... 0.0 Bohr magnetons per cell

Q:
# TbGaS3 (PBE, optimized geometry)
data_TbGaS3
_symmetry_space_group_name_H-M 'C 1 2/m 1'
_symmetry_Int_Tables_number 12
_cell_length_a 16.295
_cell_length_b 3.881
_cell_length_c 7.711
_cell_angle_alpha 90.00
_cell_angle_beta 99.78
_cell_angle_gamma 90.00
loop_
_symmetry_equiv_pos_as_xyz
'x,y,z'
'-x,-y,-z'
'-x,y,-z'
'x,-y,z'
'x+1/2,y+1/2,z'
'-x+1/2,-y+1/2,-z'
'-x+1/2,y+1/2,-z'
'x+1/2,-y+1/2,z'
loop_
_atom_site_label
_atom_site_fract_x
_atom_site_fract_y
_atom_site_fract_z
Tb1 0.136 0.000 0.353
Ga1 0.113 0.500 0.845
S1 0.024 0.500 0.277
S2 0.156 0.000 0.001
S3 0.188 0.500 0.611
# V ... 24.0 A^3/atom
# Size of the total moment ... 0.0 Bohr magnetons per cell

Most stable of them? Q.

P:
# GaTcS3 (PBE, optimized geometry)
data_GaTcS3
_symmetry_space_group_name_H-M 'P m -3 m'
_symmetry_Int_Tables_number 221
_symmetry_space_group_name_Hall '-P 4 2 3'
_cell_length_a 4.670
_cell_length_b 4.670
_cell_length_c 4.670
_cell_angle_alpha 90.00
_cell_angle_beta 90.00
_cell_angle_gamma 90.00
loop_
_atom_site_label
_atom_site_fract_x
_atom_site_fract_y
_atom_site_fract_z
Ga1 0.000 0.000 0.000
Tc1 0.500 0.500 0.500
S1 0.000 0.000 0.500
# V ... 20.4 A^3/atom
# Size of the total moment ... 4.0 Bohr magnetons per cell

Q:
# GaTcS3 (PBE, optimized geometry)
data_GaTcS3
_symmetry_space_group_name_H-M 'P m -3 m'
_symmetry_Int_Tables_number 221
_symmetry_space_group_name_Hall '-P 4 2 3'
_cell_length_a 4.686
_cell_length_b 4.686
_cell_length_c 4.686
_cell_angle_alpha 90.00
_cell_angle_beta 90.00
_cell_angle_gamma 90.00
loop_
_atom_site_label
_atom_site_fract_x
_atom_site_fract_y
_atom_site_fract_z
Ga1 0.000 0.000 0.000
Tc1 0.500 0.500 0.500
S1 0.000 0.500 0.500
# V ... 20.6 A^3/atom
# Size of the total moment ... 0.0 Bohr magnetons per cell

Most stable of them? Q.

P:
# GaTc2S (PBE, optimized geometry)
data_GaTc2S
_symmetry_space_group_name_H-M 'I -4 2 d'
_symmetry_Int_Tables_number 122
_symmetry_space_group_name_Hall 'I -4 2bw'
_cell_length_a 7.006
_cell_length_b 7.006
_cell_length_c 5.169
_cell_angle_alpha 90.00
_cell_angle_beta 90.00
_cell_angle_gamma 90.00
loop_
_atom_site_label
_atom_site_fract_x
_atom_site_fract_y
_atom_site_fract_z
Ga1 0.000 0.000 0.000
Tc1 0.170 0.250 0.625
S1 0.000 0.000 0.500
# V ... 15.9 A^3/atom
# Size of the total moment ... 0.0 Bohr magnetons per cell

Q:
# GaTc2S (PBE, optimized geometry)
data_GaTc2S
_symmetry_space_group_name_H-M 'F m -3 m'
_symmetry_Int_Tables_number 225
_symmetry_space_group_name_Hall '-F 4 2 3'
_cell_length_a 6.034
_cell_length_b 6.034
_cell_length_c 6.034
_cell_angle_alpha 90.00
_cell_angle_beta 90.00
_cell_angle_gamma 90.00
loop_
_atom_site_label
_atom_site_fract_x
_atom_site_fract_y
_atom_site_fract_z
Ga1 0.000 0.000 0.000
Tc1 0.250 0.250 0.250
S1 0.000 0.000 0.500
# V ... 13.7 A^3/atom
# Size of the total moment ... 0.0 Bohr magnetons per cell

Most stable of them? Q.

P:
# GaTc3S (PBE, optimized geometry)
data_GaTc3S
_symmetry_space_group_name_H-M 'P m -3 m'
_symmetry_Int_Tables_number 221
_symmetry_space_group_name_Hall '-P 4 2 3'
_cell_length_a 4.580
_cell_length_b 4.580
_cell_length_c 4.580
_cell_angle_alpha 90.00
_cell_angle_beta 90.00
_cell_angle_gamma 90.00
loop_
_atom_site_label
_atom_site_fract_x
_atom_site_fract_y
_atom_site_fract_z
Ga1 0.000 0.000 0.000
Tc1 0.000 0.000 0.500
S1 0.500 0.500 0.500
# V ... 19.2 A^3/atom
# Size of the total moment ... 2.6 Bohr magnetons per cell

Q:
# GaTc3S (PBE, optimized geometry)
data_GaTc3S
_symmetry_space_group_name_H-M 'P m -3 m'
_symmetry_Int_Tables_number 221
_symmetry_space_group_name_Hall '-P 4 2 3'
_cell_length_a 4.346
_cell_length_b 4.346
_cell_length_c 4.346
_cell_angle_alpha 90.00
_cell_angle_beta 90.00
_cell_angle_gamma 90.00
loop_
_atom_site_label
_atom_site_fract_x
_atom_site_fract_y
_atom_site_fract_z
Ga1 0.000 0.000 0.000
Tc1 0.000 0.500 0.500
S1 0.500 0.500 0.500
# V ... 16.4 A^3/atom
# Size of the total moment ... 1.6 Bohr magnetons per cell

Most stable of them? Q.